No. 1
This record from Alexandria via LeMat-Bulk describes a relaxed structure of CeTa2Se4Br2. The functional is PBE.

Summary:
space-group type = No. 156

Unit cell a=3.580 b=3.580 c=22.357 alpha=90.00 beta=90.00 gamma=120.00
Site moments in Bohr magnetons follow the coordinates.
Element x y z (fractional)
Ce1 0.000 0.000 0.325  1.32
Ta1 0.000 0.000 0.973  0.01
Ta2 0.667 0.333 0.661  0.01
Se1 0.000 0.000 0.587  0.00
Se2 0.667 0.333 0.047  0.00
Se3 0.667 0.333 0.900  0.00
Se4 0.000 0.000 0.734  0.00
Br1 0.667 0.333 0.419  0.00
Br2 0.667 0.333 0.231  0.00



No. 2
This record from Alexandria via LeMat-Bulk describes a relaxed structure of Ce2SiBr2. The functional is PBE.

Summary:
space-group type = No. 36

Unit cell a=4.013 b=7.590 c=10.120 alpha=90.00 beta=90.00 gamma=105.33
Site moments in Bohr magnetons follow the coordinates.
Element x y z (fractional)
Ce1 0.240 0.480 0.167  0.91
Ce2 0.041 0.083 0.903  0.83
Ce3 0.760 0.520 0.667  0.91
Ce4 0.959 0.917 0.403  0.83
Si1 0.672 0.344 0.968  -0.05
Si2 0.328 0.656 0.468  -0.05
Br1 0.901 0.802 0.128  -0.01
Br2 0.390 0.779 0.819  -0.01
Br3 0.099 0.198 0.628  -0.01
Br4 0.610 0.221 0.319  -0.01



No. 3
This record from Alexandria via LeMat-Bulk describes a relaxed structure of CeSiBr. The functional is PBE.

Summary:
space-group type = No. 63

Unit cell a=4.141 b=4.633 c=7.935 alpha=106.97 beta=90.00 gamma=90.00
Site moments in Bohr magnetons follow the coordinates.
Element x y z (fractional)
Ce1 0.250 0.608 0.217  0.82
Ce2 0.750 0.392 0.783  0.82
Si1 0.250 0.957 0.915  -0.02
Si2 0.750 0.043 0.085  -0.02
Br1 0.250 0.235 0.471  -0.02
Br2 0.750 0.765 0.529  -0.02



No. 4
This record from Alexandria via LeMat-Bulk describes a relaxed structure of Ce4SiBr5. The functional is PBE.

Summary:
space-group type = No. 12

Unit cell a=4.127 b=8.694 c=9.367 alpha=101.53 beta=102.73 gamma=90.00
Site moments in Bohr magnetons follow the coordinates.
Element x y z (fractional)
Ce1 0.340 0.930 0.680  1.06
Ce2 0.999 0.771 0.997  0.87
Ce3 0.660 0.070 0.320  1.06
Ce4 0.001 0.229 0.003  0.87
Si1 0.500 0.000 0.000  -0.03
Br1 0.831 0.675 0.662  -0.01
Br2 0.832 0.185 0.664  -0.01
Br3 0.168 0.815 0.336  -0.01
Br4 0.500 0.500 0.000  -0.01
Br5 0.169 0.325 0.338  -0.01



No. 5
This record from Alexandria via LeMat-Bulk describes a relaxed structure of Ce3SiBr3. The functional is PBE.

Summary:
space-group type = No. 214

Unit cell a=10.353 b=10.353 c=10.353 alpha=109.47 beta=109.47 gamma=109.47
Site moments in Bohr magnetons follow the coordinates.
Element x y z (fractional)
Ce1 0.982 0.491 0.241  0.93
Ce2 0.509 0.018 0.259  0.93
Ce3 0.250 0.009 0.491  0.93
Ce4 0.991 0.750 0.009  0.93
Ce5 0.991 0.241 0.482  0.93
Ce6 0.759 0.009 0.018  0.93
Ce7 0.741 0.482 0.491  0.93
Ce8 0.759 0.750 0.241  0.93
Ce9 0.518 0.259 0.009  0.93
Ce10 0.250 0.241 0.259  0.93
Ce11 0.741 0.259 0.750  0.93
Ce12 0.509 0.491 0.750  0.93
Si1 0.750 0.500 0.000  -0.03
Si2 0.500 0.250 0.500  -0.03
Si3 0.750 0.250 0.250  -0.03
Si4 0.000 0.000 0.250  -0.03
Br1 0.244 0.994 0.988  -0.01
Br2 0.750 0.756 0.744  -0.01
Br3 0.488 0.744 0.994  -0.01
Br4 0.006 0.250 0.994  -0.01
Br5 0.256 0.744 0.250  -0.01
Br6 0.494 0.506 0.250  -0.01
Br7 0.244 0.250 0.756  -0.01
Br8 0.256 0.512 0.506  -0.01
Br9 0.750 0.994 0.506  -0.01
Br10 0.012 0.506 0.756  -0.01
Br11 0.006 0.756 0.512  -0.01
Br12 0.494 0.988 0.744  -0.01



No. 6
This record from Alexandria via LeMat-Bulk describes a relaxed structure of Ce3SiBr. The functional is PBE.

Summary:
space-group type = No. 59

Unit cell a=3.923 b=8.397 c=8.680 alpha=90.00 beta=90.00 gamma=90.00
Site moments in Bohr magnetons follow the coordinates.
Element x y z (fractional)
Ce1 0.250 0.415 0.163  0.80
Ce2 0.750 0.585 0.837  0.80
Ce3 0.250 0.085 0.163  0.80
Ce4 0.750 0.915 0.837  0.80
Ce5 0.250 0.250 0.717  1.04
Ce6 0.750 0.750 0.283  1.04
Si1 0.750 0.250 0.964  -0.02
Si2 0.250 0.750 0.036  -0.02
Br1 0.750 0.250 0.428  0.00
Br2 0.250 0.750 0.572  0.00



No. 7
This record from Alexandria via LeMat-Bulk describes a relaxed structure of CeSiBr. The functional is PBE.

Summary:
space-group type = No. 63

Unit cell a=4.103 b=3.886 c=11.413 alpha=90.00 beta=100.35 gamma=90.00
Site moments in Bohr magnetons follow the coordinates.
Element x y z (fractional)
Si1 0.470 0.750 0.940  -0.01
Si2 0.530 0.250 0.060  -0.01
Br1 0.823 0.750 0.646  -0.01
Br2 0.177 0.250 0.354  -0.01
Ce1 0.920 0.250 0.840  0.67
Ce2 0.080 0.750 0.160  0.67



No. 8
This record from Alexandria via LeMat-Bulk describes a relaxed structure of Ce2SiBr. The functional is PBE.

Summary:
space-group type = No. 166
relative energy among the computed polymorphs = 0.00 eV per formula unit

Unit cell a=4.259 b=4.259 c=7.330 alpha=73.11 beta=73.11 gamma=60.00
Site moments in Bohr magnetons follow the coordinates.
Element x y z (fractional)
Si1 0.000 0.000 0.000  -0.03
Br1 0.500 0.500 0.500  -0.01
Ce1 0.258 0.258 0.227  0.69
Ce2 0.742 0.742 0.773  0.69



No. 9
This record from Alexandria via LeMat-Bulk describes a relaxed structure of Ce7SiBr12. The functional is PBE.

Summary:
space-group type = No. 148

Unit cell a=9.465 b=9.465 c=9.465 alpha=107.92 beta=107.92 gamma=107.92
Site moments in Bohr magnetons follow the coordinates.
Element x y z (fractional)
Ce1 0.958 0.667 0.882  1.06
Ce2 0.333 0.118 0.042  1.06
Ce3 0.118 0.042 0.333  1.06
Ce4 0.500 0.500 0.500  1.25
Ce5 0.882 0.958 0.667  1.06
Ce6 0.667 0.882 0.958  1.06
Ce7 0.042 0.333 0.118  1.06
Si1 0.000 0.000 0.000  -0.04
Br1 0.924 0.309 0.774  -0.01
Br2 0.691 0.226 0.076  -0.01
Br3 0.476 0.157 0.392  -0.01
Br4 0.843 0.608 0.524  -0.01
Br5 0.226 0.076 0.691  -0.01
Br6 0.608 0.524 0.843  -0.01
Br7 0.392 0.476 0.157  -0.01
Br8 0.774 0.924 0.309  -0.01
Br9 0.157 0.392 0.476  -0.01
Br10 0.524 0.843 0.608  -0.01
Br11 0.309 0.774 0.924  -0.01
Br12 0.076 0.691 0.226  -0.01



No. 10
This record from Alexandria via LeMat-Bulk describes a relaxed structure of Ce2SiBr3. The functional is PBE.

Summary:
space-group type = No. 12

Unit cell a=4.565 b=9.506 c=10.417 alpha=71.96 beta=77.34 gamma=76.11
Site moments in Bohr magnetons follow the coordinates.
Element x y z (fractional)
Ce1 0.866 0.473 0.795  0.91
Ce2 0.134 0.527 0.205  0.91
Ce3 0.614 0.202 0.569  1.01
Ce4 0.386 0.798 0.431  1.01
Si1 0.443 0.499 0.615  -0.04
Si2 0.557 0.501 0.385  -0.04
Br1 0.041 0.143 0.774  -0.01
Br2 0.959 0.857 0.226  -0.01
Br3 0.668 0.668 0.997  -0.01
Br4 0.332 0.332 0.003  -0.01
Br5 0.768 0.844 0.620  -0.01
Br6 0.232 0.156 0.380  -0.01



No. 11
This record from Alexandria via LeMat-Bulk describes a relaxed structure of Ce2SiBr. The functional is PBE.

Summary:
space-group type = No. 160
relative energy among the computed polymorphs = 0.19 eV per formula unit

Unit cell a=4.119 b=4.119 c=7.968 alpha=75.02 beta=75.02 gamma=60.00
Site moments in Bohr magnetons follow the coordinates.
Element x y z (fractional)
Ce1 0.072 0.072 0.785  0.75
Ce2 0.263 0.263 0.212  0.82
Si1 0.668 0.668 0.996  -0.03
Br1 0.498 0.498 0.507  -0.01



No. 12
This record from Alexandria via LeMat-Bulk describes a relaxed structure of Ce2SiBr. The functional is PBE.

Summary:
space-group type = No. 59
relative energy among the computed polymorphs = 0.62 eV per formula unit

Unit cell a=4.247 b=7.252 c=7.393 alpha=90.00 beta=90.00 gamma=90.00
Site moments in Bohr magnetons follow the coordinates.
Element x y z (fractional)
Ce1 0.250 0.497 0.220  0.84
Ce2 0.750 0.503 0.780  0.84
Ce3 0.750 0.997 0.780  0.84
Ce4 0.250 0.003 0.220  0.84
Si1 0.750 0.250 0.094  -0.04
Si2 0.250 0.750 0.906  -0.04
Br1 0.250 0.250 0.577  -0.01
Br2 0.750 0.750 0.423  -0.01



Computed values of D(E_F) (unit: states/eV per cell) for the preceding records, in sequence: 10.8, 25.3, 11.7, 24.1, 73.7, 32.0, 9.6, 12.0, 52.2, 28.7, 11.2, 25.4.
Computed values of uncorrected formation energy (unit: eV/f.u.) for the preceding records, in sequence: -9.1, -4.9, -2.8, -14.0, -9.1, -2.9, -3.3, -3.8, -31.1, -7.6, -3.6, -3.2.
Computed values of DFT total energy (unit: eV/atom) for the preceding records, in sequence: -6.2276, -5.1161, -5.2809, -5.1535, -5.3355, -5.5525, -5.4408, -5.6865, -4.9088, -4.9919, -5.6384, -5.5323.